Record 1
# Ac8Tl

A relaxed structure of Ac8Tl (PBE-GGA, Alexandria).

Electronic total energy   -70.823 eV/cell

The structure in CIF format:
```
data_Ac8Tl
_cell_length_a 11.852
_cell_length_b 11.852
_cell_length_c 5.453
_cell_angle_alpha 90.00
_cell_angle_beta 90.00
_cell_angle_gamma 90.00
_symmetry_space_group_name_H-M 'I 4/m m m'
_symmetry_Int_Tables_number 139
_symmetry_space_group_name_Hall '-I 4 2'
loop_
_atom_site_label
_atom_site_fract_x
_atom_site_fract_y
_atom_site_fract_z
Ac1 0.000 0.333 0.000
Ac2 0.161 0.161 0.500
Tl1 0.000 0.000 0.000
```



Record 2
# Ba2IrPt

A relaxed structure of Ba2IrPt (PBE-GGA, Alexandria).

Electronic total energy   -39.615 eV/cell

The structure in CIF format:
```
data_Ba2IrPt
_cell_length_a 4.550
_cell_length_b 4.669
_cell_length_c 15.217
_cell_angle_alpha 90.00
_cell_angle_beta 90.00
_cell_angle_gamma 90.00
_symmetry_space_group_name_H-M 'I m m 2'
_symmetry_Int_Tables_number 44
loop_
_symmetry_equiv_pos_as_xyz
'x,y,z'
'-x,-y,z'
'-x,y,z'
'x,-y,z'
'x+1/2,y+1/2,z+1/2'
'-x+1/2,-y+1/2,z+1/2'
'-x+1/2,y+1/2,z+1/2'
'x+1/2,-y+1/2,z+1/2'
loop_
_atom_site_label
_atom_site_fract_x
_atom_site_fract_y
_atom_site_fract_z
Ba1 0.000 0.000 0.000
Ba2 0.000 0.500 0.229
Ir1 0.000 0.500 0.639
Pt1 0.000 0.000 0.584
```



Record 3
# HfSb3Pd

A relaxed structure of HfSb3Pd (PBE-GGA, Alexandria).

ΔE_f (raw)   0.5003 eV per atom
ΔE to the lowest computed polymorph   0.0000 eV/atom

The structure in CIF format:
```
data_HfSb3Pd
_cell_length_a 5.153
_cell_length_b 5.153
_cell_length_c 5.153
_cell_angle_alpha 90.00
_cell_angle_beta 90.00
_cell_angle_gamma 90.00
_symmetry_space_group_name_H-M 'P m -3 m'
_symmetry_Int_Tables_number 221
_symmetry_space_group_name_Hall '-P 4 2 3'
loop_
_atom_site_label
_atom_site_fract_x
_atom_site_fract_y
_atom_site_fract_z
Hf1 0.000 0.000 0.000
Sb1 0.000 0.500 0.500
Pd1 0.500 0.500 0.500
```



Record 4
# PrIn8Pd4

A relaxed structure of PrIn8Pd4 (PBE-GGA, Alexandria).

Electronic total energy   -106.420 eV/cell

The structure in CIF format:
```
data_PrIn8Pd4
_cell_length_a 9.664
_cell_length_b 9.664
_cell_length_c 5.880
_cell_angle_alpha 90.00
_cell_angle_beta 90.00
_cell_angle_gamma 90.00
_symmetry_space_group_name_H-M 'I 4/m m m'
_symmetry_Int_Tables_number 139
_symmetry_space_group_name_Hall '-I 4 2'
loop_
_atom_site_label
_atom_site_fract_x
_atom_site_fract_y
_atom_site_fract_z
Pr1 0.000 0.000 0.000
In1 0.000 0.220 0.500
In2 0.000 0.338 0.000
Pd1 0.250 0.250 0.250
```



Record 5
# Ac2SbAs3Pd4

A relaxed structure of Ac2SbAs3Pd4 (PBE-GGA, Alexandria).

ΔE_f (raw)   -0.8979 eV per atom

The structure in CIF format:
```
data_Ac2SbAs3Pd4
_cell_length_a 4.561
_cell_length_b 4.561
_cell_length_c 10.432
_cell_angle_alpha 90.00
_cell_angle_beta 90.00
_cell_angle_gamma 90.00
_symmetry_space_group_name_H-M 'P -4 m 2'
_symmetry_Int_Tables_number 115
loop_
_symmetry_equiv_pos_as_xyz
'x,y,z'
'y,-x,-z'
'-x,-y,z'
'-y,x,-z'
'-x,y,z'
'-y,-x,-z'
'x,-y,z'
'y,x,-z'
loop_
_atom_site_label
_atom_site_fract_x
_atom_site_fract_y
_atom_site_fract_z
Ac1 0.000 0.500 0.237
Sb1 0.000 0.000 0.500
As1 0.000 0.500 0.874
As2 0.500 0.500 0.500
Pd1 0.000 0.000 0.000
Pd2 0.000 0.500 0.632
Pd3 0.500 0.500 0.000
```



Record 6
# MgCdAg2

A relaxed structure of MgCdAg2 (PBE-GGA, Alexandria).

Electronic total energy   -8.850 eV/cell

The structure in CIF format:
```
data_MgCdAg2
_cell_length_a 3.364
_cell_length_b 3.364
_cell_length_c 6.687
_cell_angle_alpha 90.00
_cell_angle_beta 90.00
_cell_angle_gamma 90.00
_symmetry_space_group_name_H-M 'P 4/m m m'
_symmetry_Int_Tables_number 123
_symmetry_space_group_name_Hall '-P 4 2'
loop_
_atom_site_label
_atom_site_fract_x
_atom_site_fract_y
_atom_site_fract_z
Mg1 0.000 0.000 0.000
Cd1 0.000 0.000 0.500
Ag1 0.500 0.500 0.238
```



Record 7
# BaAcTl4

A relaxed structure of BaAcTl4 (PBE-GGA, Alexandria).

ΔE to the lowest computed polymorph   0.1935 eV/atom

The structure in CIF format:
```
data_BaAcTl4
_cell_length_a 3.986
_cell_length_b 6.171
_cell_length_c 9.072
_cell_angle_alpha 90.00
_cell_angle_beta 90.00
_cell_angle_gamma 90.00
_symmetry_space_group_name_H-M 'P m m m'
_symmetry_Int_Tables_number 47
loop_
_symmetry_equiv_pos_as_xyz
'x,y,z'
'-x,-y,-z'
'-x,-y,z'
'x,y,-z'
'x,-y,-z'
'-x,y,z'
'-x,y,-z'
'x,-y,z'
loop_
_atom_site_label
_atom_site_fract_x
_atom_site_fract_y
_atom_site_fract_z
Ba1 0.000 0.000 0.000
Ac1 0.500 0.500 0.500
Tl1 0.000 0.500 0.187
Tl2 0.500 0.000 0.324
```



Record 8
# Sb3P

A relaxed structure of Sb3P (PBE-GGA, Alexandria).

ΔE_f (raw)   0.1076 eV per atom
ΔE to the lowest computed polymorph   0.0000 eV/atom

The structure in CIF format:
```
data_Sb3P
_cell_length_a 8.207
_cell_length_b 9.221
_cell_length_c 6.032
_cell_angle_alpha 90.00
_cell_angle_beta 90.00
_cell_angle_gamma 90.00
_symmetry_space_group_name_H-M 'C m c m'
_symmetry_Int_Tables_number 63
_symmetry_space_group_name_Hall '-C 2c 2'
loop_
_atom_site_label
_atom_site_fract_x
_atom_site_fract_y
_atom_site_fract_z
Sb1 0.000 0.247 0.250
Sb2 0.239 0.472 0.750
P1 0.000 0.290 0.750
```



Record 9
# CaAl6Pd4

A relaxed structure of CaAl6Pd4 (PBE-GGA, Alexandria).

Electronic total energy   -53.355 eV/cell

The structure in CIF format:
```
data_CaAl6Pd4
_cell_length_a 7.2947
_cell_length_b 7.2947
_cell_length_c 4.0891
_cell_angle_alpha 90.00
_cell_angle_beta 90.00
_cell_angle_gamma 120.00
_symmetry_space_group_name_H-M 'P -6 m 2'
_symmetry_Int_Tables_number 187
_symmetry_space_group_name_Hall 'P -6 2'
loop_
_atom_site_label
_atom_site_fract_x
_atom_site_fract_y
_atom_site_fract_z
Ca1 0.0000 0.0000 0.0000
Al1 0.2014 0.4028 0.5000
Al2 0.5347 0.0694 0.0000
Pd1 0.3333 0.6667 0.0000
Pd2 0.4036 0.2018 0.5000
```



Record 10
# Th4GaIrSe2

A relaxed structure of Th4GaIrSe2 (PBE-GGA, Alexandria).

ΔE_f (raw)   -1.1061 eV per atom

The structure in CIF format:
```
data_Th4GaIrSe2
_cell_length_a 7.446
_cell_length_b 4.180
_cell_length_c 7.469
_cell_angle_alpha 90.00
_cell_angle_beta 108.82
_cell_angle_gamma 90.00
_symmetry_space_group_name_H-M 'P 1 2/m 1'
_symmetry_Int_Tables_number 10
loop_
_symmetry_equiv_pos_as_xyz
'x,y,z'
'-x,-y,-z'
'-x,y,-z'
'x,-y,z'
loop_
_atom_site_label
_atom_site_fract_x
_atom_site_fract_y
_atom_site_fract_z
Th1 0.223 0.000 0.230
Th2 0.238 0.500 0.755
Ga1 0.000 0.000 0.500
Ir1 0.000 0.500 0.000
Se1 0.500 0.000 0.000
Se2 0.500 0.500 0.500
```



Record 11
# MgCdAg2

A relaxed structure of MgCdAg2 (PBE-GGA, Alexandria).

Electronic total energy   -17.224 eV/cell

The structure in CIF format:
```
data_MgCdAg2
_cell_length_a 9.601
_cell_length_b 2.973
_cell_length_c 5.416
_cell_angle_alpha 90.00
_cell_angle_beta 98.57
_cell_angle_gamma 90.00
_symmetry_space_group_name_H-M 'C 1 2/m 1'
_symmetry_Int_Tables_number 12
loop_
_symmetry_equiv_pos_as_xyz
'x,y,z'
'-x,-y,-z'
'-x,y,-z'
'x,-y,z'
'x+1/2,y+1/2,z'
'-x+1/2,-y+1/2,-z'
'-x+1/2,y+1/2,-z'
'x+1/2,-y+1/2,z'
loop_
_atom_site_label
_atom_site_fract_x
_atom_site_fract_y
_atom_site_fract_z
Mg1 0.000 0.000 0.000
Cd1 0.000 0.500 0.500
Ag1 0.247 0.500 0.242
```



Record 12
# InBRh2

A relaxed structure of InBRh2 (PBE-GGA, Alexandria).

Electronic total energy   -24.650 eV/cell

The structure in CIF format:
```
data_InBRh2
_cell_length_a 2.816
_cell_length_b 2.816
_cell_length_c 6.754
_cell_angle_alpha 90.00
_cell_angle_beta 90.00
_cell_angle_gamma 90.00
_symmetry_space_group_name_H-M 'P 4/m m m'
_symmetry_Int_Tables_number 123
_symmetry_space_group_name_Hall '-P 4 2'
loop_
_atom_site_label
_atom_site_fract_x
_atom_site_fract_y
_atom_site_fract_z
In1 0.000 0.000 0.000
B1 0.000 0.000 0.500
Rh1 0.500 0.500 0.308
```